(1)
The following is a PBEsol calculation of a geometry-optimized BeTeRh2 structure, from the Alexandria database.

Summary:
* distance to the lowest polymorph of the same formula: 0 meV per atom
* calculated volume: 14.249 Å³ per atom

Unit cell a=4.046 b=4.046 c=3.482 alpha=90.00 beta=90.00 gamma=90.00
Space group P4/mmm (No. 123)
Inequivalent atoms, fractional coordinates:
Be1 0.000 0.000 0.000 x1
Te1 0.500 0.500 0.000 x1
Rh1 0.000 0.500 0.500 x2

(2)
The following is a PBEsol calculation of a geometry-optimized BeTe2Rh structure, from the Alexandria database.

Summary:
* calculated volume: 19.379 Å³ per atom

Unit cell a=4.339 b=5.037 c=7.092 alpha=90.00 beta=90.00 gamma=90.00
Space group Amm2 (No. 38)
Inequivalent atoms, fractional coordinates:
Be1 0.000 0.000 0.000 x2
Te1 0.000 0.000 0.636 x2
Te2 0.500 0.000 0.217 x2
Rh1 0.500 0.000 0.844 x2

(3)
The following is a PBEsol calculation of a geometry-optimized BeTe2Rh structure, from the Alexandria database.

Summary:
* calculated volume: 18.525 Å³ per atom

Unit cell a=3.841 b=5.246 c=7.356 alpha=90.00 beta=90.00 gamma=90.00
Space group Cmmm (No. 65)
Inequivalent atoms, fractional coordinates:
Be1 0.000 0.000 0.000 x2
Te1 0.000 0.500 0.242 x4
Rh1 0.000 0.000 0.500 x2

Number 1: formation energy without anion corrections -0.10 eV per atom. Number 2: formation energy without anion corrections -0.16 eV per atom. Number 3: formation energy without anion corrections 0.39 eV per atom.